1.
Density functional theory data (PBE) for an optimized crystal structure of Pm4Bi2Ir.

Cell: 4.277 8.574 8.019 Å, 118.90 90.00 90.00°
Positions (direct):
Pm: 0.000 0.720 0.002
Pm: 0.500 0.007 0.810
Pm: 0.000 0.423 0.141
Pm: 0.500 0.136 0.333
Bi: 0.500 0.762 0.348
Bi: 0.500 0.380 0.795
Ir: 0.000 0.071 0.071

## Properties
**Formation energy from the elements**: -534 meV per atom

2.
Density functional theory data (PBE) for an optimized crystal structure of LiAlAg4.

Cell: 2.930 5.445 7.414 Å, 109.51 100.19 106.75°
Positions (direct):
Ag: 0.982 0.265 0.434
Ag: 0.850 0.748 0.715
Ag: 0.650 0.247 0.785
Ag: 0.522 0.744 0.065
Al: 0.302 0.227 0.106
Li: 0.195 0.769 0.393

## Properties
**Formation energy from the elements**: -115 meV per atom

3.
Density functional theory data (PBE) for an optimized crystal structure of CaTiO3.

Cell: 5.452 5.452 5.452 Å, 119.73 119.71 90.49°
Positions (direct):
O: 0.796 0.296 0.000
O: 0.204 0.204 0.500
O: 0.796 0.796 0.500
O: 0.335 0.750 0.585
O: 0.665 0.250 0.415
O: 0.204 0.704 0.000
Ti: 0.500 0.000 0.500
Ti: 0.000 0.500 0.500
Ca: 0.237 0.250 0.987
Ca: 0.763 0.750 0.013

## Properties
**E_form (uncorrected)**: -3.127 eV per atom

Mass density across the listed records, respectively: 7.68, 7.60, 3.92 g/cm3.